Record 1
This record from the Alexandria database describes a relaxed ZnAsAu2 crystal. The functional is PBEsol.

Cell: 3.9866 3.9866 5.0430 Å, 113.28 113.28 90.00°
Sites, in units of the cell vectors:
As  0.7500  0.2500  0.5000
Au  0.0000  0.0000  0.0000
Au  0.2500  0.7500  0.5000
Zn  0.5000  0.5000  0.0000

Computed properties:
ρ: 13.3 g/cm³
Fermi-level density of states: 0.339 states/eV per atom
VASP energy: -3.590 eV/atom
formation enthalpy at 0 K: 44 meV/atom

***

Record 2
This record from the Alexandria database describes a relaxed BaW2Au crystal. The functional is PBEsol.

Cell: 2.9998 5.1535 5.4014 Å, 90.00 90.00 92.76°
Sites, in units of the cell vectors:
Au  0.0000  0.5000  0.5000
Ba  0.5000  0.0000  0.5000
W  0.1227  0.2592  0.0000
W  0.8773  0.7408  0.0000

Computed properties:
ρ: 14.0 g/cm³
Fermi-level density of states: 0.829 states/eV per atom
VASP energy: -7.252 eV/atom
formation enthalpy at 0 K: 1170 meV/atom

***

Record 3
This record from the Alexandria database describes a relaxed ScCu3Si crystal. The functional is PBEsol.

Cell: 4.6146 4.6146 4.6146 Å, 90.00 90.00 90.00°
Sites, in units of the cell vectors:
Sc  0.0000  0.0000  0.0000
Si  0.5000  0.5000  0.5000
Cu  0.0000  0.5000  0.0000
Cu  0.0000  0.0000  0.5000
Cu  0.5000  0.0000  0.0000

Computed properties:
ρ: 4.5 g/cm³
Fermi-level density of states: 0.670 states/eV per atom
VASP energy: -3.660 eV/atom
raw formation energy: 1.41 eV per atom

***

Record 4
This record from the Alexandria database describes a relaxed CuPt5 crystal. The functional is PBEsol.

Cell: 2.7162 4.5673 7.1720 Å, 90.00 100.92 90.00°
Sites, in units of the cell vectors:
Cu  0.0003  0.0000  0.0007
Pt  0.2218  0.5000  0.4437
Pt  0.3387  0.0000  0.6774
Pt  0.5542  0.5000  0.1085
Pt  0.6619  0.0000  0.3237
Pt  0.8897  0.5000  0.7793

Computed properties:
ρ: 19.7 g/cm³
Fermi-level density of states: 1.722 states/eV per atom
VASP energy: -6.518 eV/atom
formation enthalpy at 0 K: 8 meV/atom